Compound: NiAg2Cl2F2
Source: the Alexandria database
Functional: GGA+U
Structure: optimized geometry

abc: 11.7374 3.5967 6.7473
angles: 90.00 122.41 90.00
Closest atoms and distances in Å follow each position.
Space group C2/m (No. 12)
Inequivalent atoms, fractional coordinates:
Ni 0.0000 0.0000 0.0000  2 F 1.95
Ag 0.1543 0.0000 0.6240  3 F 2.44-2.48
Cl 0.0693 0.5000 0.8290  2 Ni 2.50, 2 Ag 2.76
F 0.1792 0.0000 0.2869  1 Ni 1.95

Values from the calculation:
Raw total energy: -3.252 eV per atom
Density: 5294 kg/m3